VASP calculation (PBE-GGA) on a relaxed structure of KIrBr2.

The structure belongs to space group Pm (No. 6); the cell edges are 4.820, 4.792 and 5.624 Å and the angles 90.00°, 105.89° and 90.00°. The inequivalent atoms are K at (0.000, 0.000, 0.000), Ir at (0.675, 0.500, 0.526), Br at (0.218, 0.500, 0.656) and Br at (0.630, 0.000, 0.402).

As for the distance to the lowest polymorph of the same formula: 0.085 eV per atom. The density of states at the Fermi level is 0.345 states/eV per atom. The calculation puts the calculated total energy at -14.4 eV for the cell shown.

=====

VASP calculation (PBE-GGA) on a relaxed structure of KIrBr2.

The structure belongs to space group P2/m (No. 10); the cell edges are 5.828, 3.776 and 6.422 Å and the angles 90.00°, 112.44° and 90.00°. The inequivalent atoms are K at (0.000, 0.000, 0.000), Ir at (0.000, 0.000, 0.500) and Br at (0.281, 0.500, 0.688).

As for the distance to the lowest polymorph of the same formula: 0.063 eV per atom. The calculation puts the calculated total energy at -14.5 eV for the cell shown.

=====

VASP calculation (PBE-GGA) on a relaxed structure of KIrBr.

The structure belongs to space group Imm2 (No. 44); the cell edges are 3.151, 4.197 and 11.532 Å and the angles 90.00°, 90.00° and 90.00°. The inequivalent atoms are K at (0.000, 0.000, 0.000), Ir at (0.000, 0.000, 0.273) and Br at (0.000, 0.000, 0.737).

As for the distance to the lowest polymorph of the same formula: 0.136 eV per atom. The density of states at the Fermi level is 0.443 states/eV per atom. The calculation puts the calculated total energy at -20.7 eV for the cell shown.

=====

VASP calculation (PBE-GGA) on a relaxed structure of KIrBr2.

The structure belongs to space group Imm2 (No. 44); the cell edges are 3.577, 3.732 and 15.286 Å and the angles 90.00°, 90.00° and 90.00°. The inequivalent atoms are K at (0.000, 0.000, 0.000), Ir at (0.000, 0.500, 0.280), Br at (0.000, 0.000, 0.618) and Br at (0.000, 0.500, 0.820).

As for the distance to the lowest polymorph of the same formula: 0.420 eV per atom. The density of states at the Fermi level is 1.085 states/eV per atom. The calculation puts the calculated total energy at -26.1 eV for the cell shown.

=====

VASP calculation (PBE-GGA) on a relaxed structure of KIr2Br.

The structure belongs to space group I4_1/amd (No. 141, origin choice 2); the cell edges are 5.180, 5.180 and 16.436 Å and the angles 90.00°, 90.00° and 90.00°. The inequivalent atoms are K at (0.000, 0.250, 0.375), Ir at (0.000, 0.000, 0.000) and Br at (0.000, 0.250, 0.875).

As for the distance to the lowest polymorph of the same formula: 0.558 eV per atom. The density of states at the Fermi level is 1.103 states/eV per atom. The calculation puts the calculated total energy at -70.5 eV for the cell shown.

=====

VASP calculation (PBE-GGA) on a relaxed structure of KIrBr2.

The structure belongs to space group Cm (No. 8); the cell edges are 14.756, 3.821 and 3.791 Å and the angles 90.00°, 90.06° and 90.00°. The inequivalent atoms are K at (0.000, 0.000, 0.000), Ir at (0.212, 0.000, 0.497), Br at (0.189, 0.500, 0.997) and Br at (0.387, 0.000, 0.500).

As for the distance to the lowest polymorph of the same formula: 0.335 eV per atom. The density of states at the Fermi level is 0.368 states/eV per atom. The calculation puts the calculated total energy at -26.8 eV for the cell shown.

=====

VASP calculation (PBE-GGA) on a relaxed structure of KIrBr2.

The structure belongs to space group Fm-3m (No. 225); the cell edges are 7.271, 7.271 and 7.271 Å and the angles 90.00°, 90.00° and 90.00°. The inequivalent atoms are K at (0.000, 0.000, 0.000), Ir at (0.000, 0.000, 0.500) and Br at (0.250, 0.250, 0.250).

As for the distance to the lowest polymorph of the same formula: 0.636 eV per atom. The density of states at the Fermi level is 0.674 states/eV per atom. The calculation puts the calculated total energy at -48.8 eV for the cell shown.

=====

VASP calculation (PBE-GGA) on a relaxed structure of KIrBr2.

The structure belongs to space group I-4m2 (No. 119); the cell edges are 4.074, 4.074 and 13.643 Å and the angles 90.00°, 90.00° and 90.00°. The inequivalent atoms are K at (0.000, 0.000, 0.000), Ir at (0.000, 0.500, 0.250), Br at (0.000, 0.000, 0.500) and Br at (0.000, 0.500, 0.750).

As for the distance to the lowest polymorph of the same formula: 0.656 eV per atom. The density of states at the Fermi level is 0.900 states/eV per atom. The calculation puts the calculated total energy at -24.2 eV for the cell shown.

=====

VASP calculation (PBE-GGA) on a relaxed structure of KIr2Br.

The structure belongs to space group Cmmm (No. 65); the cell edges are 2.871, 5.183 and 10.220 Å and the angles 90.00°, 90.00° and 90.00°. The inequivalent atoms are K at (0.000, 0.000, 0.000), Ir at (0.000, 0.500, 0.277) and Br at (0.000, 0.000, 0.500).

As for the distance to the lowest polymorph of the same formula: 0.944 eV per atom. The density of states at the Fermi level is 1.369 states/eV per atom. The calculation puts the calculated total energy at -32.2 eV for the cell shown.

=====

VASP calculation (PBE-GGA) on a relaxed structure of KIr2Br.

The structure belongs to space group I4/mmm (No. 139); the cell edges are 3.799, 3.799 and 13.503 Å and the angles 90.00°, 90.00° and 90.00°. The inequivalent atoms are K at (0.000, 0.000, 0.000), Ir at (0.000, 0.500, 0.250) and Br at (0.000, 0.000, 0.500).

As for the distance to the lowest polymorph of the same formula: 0.709 eV per atom. The density of states at the Fermi level is 1.710 states/eV per atom. The calculation puts the calculated total energy at -34.0 eV for the cell shown.

=====

VASP calculation (PBE-GGA) on a relaxed structure of KIr2Br.

The structure belongs to space group P4/mmm (No. 123); the cell edges are 2.994, 2.994 and 8.838 Å and the angles 90.00°, 90.00° and 90.00°. The inequivalent atoms are K at (0.000, 0.000, 0.000), Ir at (0.500, 0.500, 0.305) and Br at (0.000, 0.000, 0.500).

As for the distance to the lowest polymorph of the same formula: 1.000 eV per atom. The density of states at the Fermi level is 0.630 states/eV per atom. The calculation puts the calculated total energy at -15.9 eV for the cell shown.

=====

VASP calculation (PBE-GGA) on a relaxed structure of KIrBr.

The structure belongs to space group I4mm (No. 107); the cell edges are 3.222, 3.222 and 13.374 Å and the angles 90.00°, 90.00° and 90.00°. The inequivalent atoms are K at (0.000, 0.000, 0.000), Ir at (0.000, 0.000, 0.313) and Br at (0.000, 0.000, 0.689).

As for the distance to the lowest polymorph of the same formula: 0.395 eV per atom. The density of states at the Fermi level is 1.093 states/eV per atom. The calculation puts the calculated total energy at -19.1 eV for the cell shown.

=====

VASP calculation (PBE-GGA) on a relaxed structure of KIrBr2.

The structure belongs to space group Cmmm (No. 65); the cell edges are 3.883, 14.488 and 7.981 Å and the angles 90.00°, 90.00° and 90.00°. The inequivalent atoms are K at (0.000, 0.000, 0.000), Ir at (0.000, 0.000, 0.500) and Br at (0.000, 0.500, 0.305).

As for the distance to the lowest polymorph of the same formula: 0.293 eV per atom. The density of states at the Fermi level is 0.634 states/eV per atom. The calculation puts the calculated total energy at -27.1 eV for the cell shown.

=====

VASP calculation (PBE-GGA) on a relaxed structure of KIr2Br.

The structure belongs to space group Cm (No. 8); the cell edges are 8.238, 2.951 and 8.302 Å and the angles 90.00°, 102.04° and 90.00°. The inequivalent atoms are K at (0.000, 0.000, 0.000), Ir at (0.129, 0.500, 0.408), Ir at (0.336, 0.000, 0.309) and Br at (0.166, 0.500, 0.727).

As for the distance to the lowest polymorph of the same formula: 0.084 eV per atom. The density of states at the Fermi level is 0.881 states/eV per atom. The calculation puts the calculated total energy at -39.0 eV for the cell shown.

=====

VASP calculation (PBE-GGA) on a relaxed structure of KIrBr2.

The structure belongs to space group Immm (No. 71); the cell edges are 3.756, 5.884 and 11.159 Å and the angles 90.00°, 90.00° and 90.00°. The inequivalent atoms are K at (0.000, 0.000, 0.000), Ir at (0.000, 0.000, 0.500) and Br at (0.000, 0.500, 0.147).

As for the distance to the lowest polymorph of the same formula: 0.000 eV per atom. The calculation puts the calculated total energy at -29.5 eV for the cell shown.

=====

VASP calculation (PBE-GGA) on a relaxed structure of KIrBr.

The structure belongs to space group F-43m (No. 216); the cell edges are 7.618, 7.618 and 7.618 Å and the angles 90.00°, 90.00° and 90.00°. The inequivalent atoms are K at (0.000, 0.000, 0.000), Ir at (0.250, 0.250, 0.750) and Br at (0.250, 0.250, 0.250).

As for the distance to the lowest polymorph of the same formula: 0.854 eV per atom. The density of states at the Fermi level is 2.580 states/eV per atom. The calculation puts the calculated total energy at -32.8 eV for the cell shown.

=====

VASP calculation (PBE-GGA) on a relaxed structure of KIr2Br.

The structure belongs to space group Pm (No. 6); the cell edges are 2.781, 3.998 and 9.088 Å and the angles 90.00°, 98.70° and 90.00°. The inequivalent atoms are K at (0.000, 0.000, 0.000), Ir at (0.358, 0.500, 0.712), Ir at (0.816, 0.000, 0.628) and Br at (0.619, 0.500, 0.241).

As for the distance to the lowest polymorph of the same formula: 0.000 eV per atom. The density of states at the Fermi level is 0.735 states/eV per atom. The calculation puts the calculated total energy at -19.9 eV for the cell shown.

=====

VASP calculation (PBE-GGA) on a relaxed structure of KLaIrBr2.

The structure belongs to space group P4/mmm (No. 123); the cell edges are 5.212, 5.212 and 5.612 Å and the angles 90.00°, 90.00° and 90.00°. The inequivalent atoms are K at (0.000, 0.000, 0.000), La at (0.500, 0.500, 0.000), Ir at (0.000, 0.000, 0.500) and Br at (0.000, 0.500, 0.500).

The density of states at the Fermi level is 1.132 states/eV per atom. The calculation puts the calculated total energy at -16.6 eV for the cell shown.

=====

VASP calculation (PBE-GGA) on a relaxed structure of K2LiIrBr6.

The structure belongs to space group Pmmn (No. 59, origin choice 2); the cell edges are 7.449, 10.535 and 7.449 Å and the angles 90.00°, 90.00° and 90.00°. The inequivalent atoms are K at (0.250, 0.000, 0.250), Li at (0.250, 0.250, 0.748), Ir at (0.250, 0.750, 0.751), Br at (0.011, 0.750, 0.512), Br at (0.011, 0.750, 0.990) and Br at (0.250, 0.511, 0.751).

The calculation puts the calculated total energy at -66.7 eV for the cell shown.

=====

VASP calculation (PBE-GGA) on a relaxed structure of KLi2IrBr8.

The structure belongs to space group P-1 (No. 2); the cell edges are 5.943, 6.949 and 8.610 Å and the angles 88.91°, 75.14° and 82.19°. The inequivalent atoms are K at (0.000, 0.000, 0.000), Li at (0.234, 0.633, 0.332), Ir at (0.500, 0.000, 0.500), Br at (0.161, 0.834, 0.625), Br at (0.245, 0.510, 0.018), Br at (0.253, 0.330, 0.544) and Br at (0.433, 0.947, 0.228).

The density of states at the Fermi level is 0.621 states/eV per atom. The calculation puts the calculated total energy at -36.9 eV for the cell shown.

=====

VASP calculation (PBE-GGA) on a relaxed structure of KLiIrBr6.

The structure belongs to space group P-31c (No. 163); the cell edges are 6.8357, 6.8357 and 14.5580 Å and the angles 90.00°, 90.00° and 120.00°. The inequivalent atoms are K at (0.0000, 0.0000, 0.0000), Li at (0.3333, 0.6667, 0.2500), Ir at (0.3333, 0.6667, 0.7500) and Br at (0.0244, 0.3795, 0.6509).

The density of states at the Fermi level is 0.924 states/eV per atom. The calculation puts the calculated total energy at -58.5 eV for the cell shown.

=====

VASP calculation (PBE-GGA) on a relaxed structure of KNaIrBr6.

The structure belongs to space group C2 (No. 5); the cell edges are 7.262, 12.594 and 6.904 Å and the angles 90.00°, 90.03° and 90.00°. The inequivalent atoms are K at (0.000, 0.000, 0.000), Na at (0.000, 0.334, 0.500), Ir at (0.000, 0.667, 0.500), Br at (0.131, 0.524, 0.289), Br at (0.148, 0.804, 0.289) and Br at (0.219, 0.172, 0.290).

The density of states at the Fermi level is 0.984 states/eV per atom. The calculation puts the calculated total energy at -57.3 eV for the cell shown.

=====

VASP calculation (PBE-GGA) on a relaxed structure of KNiIr2Br.

The structure belongs to space group P4/mmm (No. 123); the cell edges are 4.686, 4.686 and 5.513 Å and the angles 90.00°, 90.00° and 90.00°. The inequivalent atoms are K at (0.000, 0.000, 0.000), Ni at (0.500, 0.500, 0.000), Ir at (0.000, 0.500, 0.500) and Br at (0.000, 0.000, 0.500).

The density of states at the Fermi level is 2.038 states/eV per atom. The calculation puts the calculated total energy at -18.0 eV for the cell shown.

=====

VASP calculation (PBE-GGA) on a relaxed structure of K2IrBr2O2.

The structure belongs to space group I4/mmm (No. 139); the cell edges are 4.191, 4.191 and 16.950 Å and the angles 90.00°, 90.00° and 90.00°. The inequivalent atoms are K at (0.000, 0.000, 0.105), Ir at (0.000, 0.000, 0.500), Br at (0.000, 0.000, 0.347) and O at (0.000, 0.500, 0.000).

The density of states at the Fermi level is 0.548 states/eV per atom. The calculation puts the calculated total energy at -61.9 eV for the cell shown.

=====

VASP calculation (PBE-GGA) on a relaxed structure of K5IrBr2O4.

The structure belongs to space group Amm2 (No. 38); the cell edges are 8.694, 9.989 and 6.927 Å and the angles 90.00°, 90.00° and 90.00°. The inequivalent atoms are K at (0.000, 0.000, 0.000), K at (0.305, 0.193, 0.379), Ir at (0.500, 0.000, 0.895), Br at (0.000, 0.191, 0.636), O at (0.329, 0.000, 0.055) and O at (0.500, 0.131, 0.691).

The calculation puts the calculated total energy at -105.1 eV for the cell shown.

=====

VASP calculation (PBE-GGA) on a relaxed structure of KIrPbBr6.

The structure belongs to space group P-31c (No. 163); the cell edges are 7.4299, 7.4299 and 13.5654 Å and the angles 90.00°, 90.00° and 120.00°. The inequivalent atoms are K at (0.0000, 0.0000, 0.0000), Ir at (0.3333, 0.6667, 0.2500), Pb at (0.3333, 0.6667, 0.7500) and Br at (0.0551, 0.3973, 0.1403).

The calculation puts the calculated total energy at -61.4 eV for the cell shown.